Entry 1:
Density functional theory data (PBE-GGA) for Ca3C after structural relaxation.

Computed properties:
theoretical density = 2.31 Mg/m³
energy of formation from the pure elements = 1.0654 eV per atom
energy above the lowest structure with this stoichiometry = 316 kJ/mol of formula units

POSCAR file:
```
Ca3C
1.0
-2.248 2.248 4.701
2.248 -2.248 4.701
2.248 2.248 -4.701
Ca C
3 1
direct
0.000 0.000 0.000
0.250 0.750 0.500
0.750 0.250 0.500
0.500 0.500 0.000
```

***

Entry 2:
Density functional theory data (PBE-GGA) for Ce5Pr3Sb8 after structural relaxation.

Computed properties:
theoretical density = 6.66 Mg/m³
ΔE_f (raw) = -1101 meV/atom

POSCAR file:
```
Ce5Pr3Sb8
1.0
4.521 2.610 7.389
-4.521 2.610 7.389
0.000 -5.220 7.389
Ce Pr Sb
5 3 8
direct
0.000 0.000 0.000
0.000 0.500 0.500
0.500 0.000 0.500
0.500 0.500 0.000
0.500 0.500 0.500
0.000 0.000 0.500
0.000 0.500 0.000
0.500 0.000 0.000
0.250 0.250 0.747
0.250 0.747 0.250
0.252 0.252 0.252
0.253 0.750 0.750
0.747 0.250 0.250
0.748 0.748 0.748
0.750 0.253 0.750
0.750 0.750 0.253
```

***

Entry 3:
Density functional theory data (PBE-GGA) for Pm8Cd2Ga after structural relaxation.

Computed properties:
theoretical density = 7.17 Mg/m³
energy of formation from the pure elements = -0.1689 eV per atom

POSCAR file:
```
Pm8Cd2Ga
1.0
9.227 -2.668 0.000
9.227 2.668 0.000
-2.140 0.000 6.841
Pm Cd Ga
8 2 1
direct
0.017 0.017 0.271
0.199 0.199 0.797
0.339 0.339 0.535
0.409 0.409 0.048
0.591 0.591 0.952
0.661 0.661 0.465
0.801 0.801 0.203
0.983 0.983 0.729
0.181 0.181 0.214
0.819 0.819 0.786
0.500 0.500 0.500
```

***

Entry 4:
Density functional theory data (PBE-GGA) for BaNdGe4 after structural relaxation.

Computed properties:
theoretical density = 5.83 Mg/m³
energy of formation from the pure elements = -0.5133 eV per atom
energy above the lowest structure with this stoichiometry = 0 kJ/mol of formula units

POSCAR file:
```
BaNdGe4
1.0
8.221 0.000 0.000
0.000 17.518 0.000
0.000 0.000 4.524
Ba Nd Ge
4 4 16
direct
0.133 0.156 0.000
0.367 0.656 0.000
0.633 0.344 0.000
0.867 0.844 0.000
0.133 0.412 0.000
0.367 0.912 0.000
0.633 0.088 0.000
0.867 0.588 0.000
0.014 0.691 0.500
0.118 0.950 0.500
0.130 0.542 0.500
0.204 0.806 0.500
0.296 0.306 0.500
0.370 0.042 0.500
0.382 0.450 0.500
0.486 0.191 0.500
0.514 0.809 0.500
0.618 0.550 0.500
0.630 0.958 0.500
0.704 0.694 0.500
0.796 0.194 0.500
0.870 0.458 0.500
0.882 0.050 0.500
0.986 0.309 0.500
```

***

Entry 5:
Density functional theory data (PBE-GGA) for Sr2AlI after structural relaxation.

Computed properties:
theoretical density = 3.30 Mg/m³
ΔE_f (raw) = -345 meV/atom
energy above the lowest structure with this stoichiometry = 107 kJ/mol of formula units

POSCAR file:
```
Sr2AlI
1.0
-4.387 4.387 4.302
4.387 -4.387 4.302
4.387 4.387 -4.302
Sr Al I
4 2 2
direct
0.117 0.625 0.992
0.375 0.367 0.492
0.633 0.125 0.008
0.875 0.883 0.508
0.000 0.000 0.000
0.750 0.250 0.500
0.250 0.750 0.500
0.500 0.500 0.000
```

***

Entry 6:
Density functional theory data (PBE-GGA) for Nd4SiSBr2 after structural relaxation.

Computed properties:
theoretical density = 5.96 Mg/m³
ΔE_f (raw) = -1367 meV/atom

POSCAR file:
```
Nd4SiSBr2
1.0
7.183 0.000 0.000
0.000 4.219 0.000
-2.481 0.000 7.329
Nd Si S Br
4 1 1 2
direct
0.229 0.000 0.201
0.259 0.500 0.795
0.741 0.500 0.205
0.771 0.000 0.799
0.500 0.000 0.000
0.000 0.500 0.000
0.000 0.000 0.500
0.500 0.500 0.500
```

***

Entry 7:
Density functional theory data (PBE-GGA) for KPdSN2 after structural relaxation.

Computed properties:
theoretical density = 3.82 Mg/m³
ΔE_f (raw) = 1026 meV/atom
energy above the lowest structure with this stoichiometry = 0 kJ/mol of formula units

POSCAR file:
```
KPdSN2
1.0
4.194 0.000 0.000
0.000 4.194 0.000
0.000 0.000 5.080
K Pd S N
1 1 1 2
direct
0.000 0.000 0.000
0.500 0.500 0.500
0.500 0.500 0.000
0.000 0.500 0.500
0.500 0.000 0.500
```

***

Entry 8:
Density functional theory data (PBE-GGA) for ReSi2Ru after structural relaxation.

Computed properties:
theoretical density = 10.58 Mg/m³
ΔE_f (raw) = -28 meV/atom

POSCAR file:
```
ReSi2Ru
1.0
-1.775 1.775 4.280
1.775 -1.775 4.280
1.775 1.775 -4.280
Re Si Ru
1 2 1
direct
0.000 0.000 0.000
0.500 0.500 0.000
0.750 0.250 0.500
0.250 0.750 0.500
```

***

Entry 9:
Density functional theory data (PBE-GGA) for ReTcTe2Pt after structural relaxation.

Computed properties:
theoretical density = 9.18 Mg/m³
ΔE_f (raw) = 1781 meV/atom

POSCAR file:
```
ReTcTe2Pt
1.0
5.248 0.000 0.000
0.000 5.248 0.000
0.000 0.000 4.826
Re Tc Te Pt
1 1 2 1
direct
0.000 0.000 0.000
0.500 0.500 0.000
0.000 0.500 0.500
0.500 0.000 0.500
0.000 0.000 0.500
```

***

Entry 10:
Density functional theory data (PBE-GGA) for Os4WBr after structural relaxation.

Computed properties:
theoretical density = 17.14 Mg/m³
ΔE_f (raw) = 1317 meV/atom

POSCAR file:
```
Os4WBr
1.0
0.000 3.675 3.675
3.675 0.000 3.675
3.675 3.675 0.000
Os W Br
4 1 1
direct
0.125 0.125 0.125
0.125 0.125 0.626
0.125 0.626 0.125
0.626 0.125 0.125
0.750 0.750 0.750
0.500 0.500 0.500
```

***

Entry 11:
Density functional theory data (PBE-GGA) for Ta2P after structural relaxation.

Computed properties:
theoretical density = 13.40 Mg/m³
energy of formation from the pure elements = -0.5237 eV per atom

POSCAR file:
```
Ta2P
1.0
-1.688 2.645 5.453
1.688 -2.645 5.453
1.688 2.645 -5.453
Ta P
4 2
direct
0.203 0.203 0.000
0.247 0.500 0.747
0.753 0.500 0.253
0.797 0.797 0.000
0.368 0.868 0.500
0.632 0.132 0.500
```

***

Entry 12:
Density functional theory data (PBE-GGA) for PmZrTlSn after structural relaxation.

Computed properties:
theoretical density = 8.98 Mg/m³
energy of formation from the pure elements = -0.2435 eV per atom

POSCAR file:
```
PmZrTlSn
1.0
0.000 3.726 3.726
3.726 0.000 3.726
3.726 3.726 0.000
Pm Zr Tl Sn
1 1 1 1
direct
0.000 0.000 0.000
0.500 0.500 0.500
0.750 0.750 0.750
0.250 0.250 0.250
```

***

Entry 13:
Density functional theory data (PBE-GGA) for Ba2ThMgS5 after structural relaxation.

Computed properties:
theoretical density = 4.56 Mg/m³
ΔE_f (raw) = -1914 meV/atom

POSCAR file:
```
Ba2ThMgS5
1.0
2.137 -8.981 0.000
2.137 8.981 0.000
0.000 0.000 13.126
Ba Th Mg S
4 2 2 10
direct
0.103 0.897 0.500
0.126 0.874 0.130
0.874 0.126 0.630
0.897 0.103 0.000
0.210 0.790 0.834
0.790 0.210 0.334
0.455 0.545 0.266
0.545 0.455 0.766
0.055 0.945 0.860
0.285 0.715 0.474
0.312 0.688 0.197
0.361 0.639 0.819
0.497 0.503 0.596
0.503 0.497 0.096
0.639 0.361 0.319
0.688 0.312 0.697
0.715 0.285 0.974
0.945 0.055 0.360
```

***

Entry 14:
Density functional theory data (PBE-GGA) for Li2InSeI after structural relaxation.

Computed properties:
theoretical density = 3.59 Mg/m³
ΔE_f (raw) = -778 meV/atom

POSCAR file:
```
Li2InSeI
1.0
4.927 0.000 0.000
0.000 4.927 0.000
0.000 0.000 6.377
Li In Se I
2 1 1 1
direct
0.000 0.500 0.000
0.500 0.000 0.000
0.000 0.000 0.500
0.000 0.000 0.000
0.500 0.500 0.500
```

***

Entry 15:
Density functional theory data (PBE-GGA) for Ba2NpS3F3 after structural relaxation.

Computed properties:
theoretical density = 5.74 Mg/m³
ΔE_f (raw) = -2341 meV/atom

POSCAR file:
```
Ba2NpS3F3
1.0
7.341 0.000 0.000
-3.670 6.357 0.000
0.000 0.000 4.123
Ba Np S F
2 1 3 3
direct
0.333 0.667 0.000
0.667 0.333 0.000
0.000 0.000 0.500
0.000 0.359 0.500
0.359 0.000 0.500
0.641 0.641 0.500
0.000 0.793 0.000
0.207 0.207 0.000
0.793 0.000 0.000
```

***

Entry 16:
Density functional theory data (PBE-GGA) for Zr2UAu after structural relaxation.

Computed properties:
theoretical density = 12.16 Mg/m³
energy of formation from the pure elements = -0.0591 eV per atom
energy above the lowest structure with this stoichiometry = 15 kJ/mol of formula units

POSCAR file:
```
Zr2UAu
1.0
3.517 0.000 0.000
0.000 3.517 0.000
0.000 0.000 6.820
Zr U Au
2 1 1
direct
0.000 0.000 0.248
0.000 0.000 0.752
0.500 0.500 0.500
0.500 0.500 0.000
```

***

Entry 17:
Density functional theory data (PBE-GGA) for LiZrInGa after structural relaxation.

Computed properties:
theoretical density = 6.22 Mg/m³
energy of formation from the pure elements = -0.3776 eV per atom

POSCAR file:
```
LiZrInGa
1.0
4.100 0.000 0.000
0.000 4.153 0.000
0.000 0.000 4.433
Li Zr In Ga
1 1 1 1
direct
0.000 0.000 0.000
0.000 0.500 0.500
0.500 0.500 0.000
0.500 0.000 0.500
```

***

Entry 18:
Density functional theory data (PBE-GGA) for BeAg2AsBr after structural relaxation.

Computed properties:
theoretical density = 5.40 Mg/m³
ΔE_f (raw) = 981 meV/atom

POSCAR file:
```
BeAg2AsBr
1.0
5.261 0.000 0.000
0.000 5.261 0.000
0.000 0.000 4.217
Be Ag As Br
1 2 1 1
direct
0.000 0.000 0.000
0.000 0.500 0.500
0.500 0.000 0.500
0.500 0.500 0.000
0.000 0.000 0.500
```

***

Entry 19:
Density functional theory data (PBE-GGA) for Ta2Cu2Ir after structural relaxation.

Computed properties:
theoretical density = 15.23 Mg/m³
energy of formation from the pure elements = -0.0554 eV per atom

POSCAR file:
```
Ta2Cu2Ir
1.0
6.654 0.000 0.000
0.000 6.654 0.000
0.000 0.000 3.355
Ta Cu Ir
4 4 2
direct
0.174 0.326 0.000
0.326 0.826 0.000
0.674 0.174 0.000
0.826 0.674 0.000
0.126 0.626 0.500
0.374 0.126 0.500
0.626 0.874 0.500
0.874 0.374 0.500
0.000 0.000 0.500
0.500 0.500 0.500
```

***

Entry 20:
Density functional theory data (PBE-GGA) for Y5ThSc after structural relaxation.

Computed properties:
theoretical density = 5.19 Mg/m³
energy of formation from the pure elements = 0.2330 eV per atom

POSCAR file:
```
Y5ThSc
1.0
3.516 -5.011 0.000
3.516 5.011 0.000
-1.713 0.000 6.546
Y Th Sc
5 1 1
direct
0.000 0.000 0.000
0.037 0.588 0.269
0.412 0.963 0.731
0.588 0.037 0.269
0.963 0.412 0.731
0.500 0.500 0.000
0.500 0.500 0.500
```